Record 1
Computed, not measured: crystalline PRu3Au at its relaxed geometry at the GGA-PBE level of DFT.

Results
Its formation energy is 2382.1 meV/atom. The value obtained for the calculated total energy is -4.921 eV per atom. For the energy above the most stable polymorph in this dataset, the calculation gives 1925 meV per atom.

Cell lengths 4.875, 4.875, 4.875 Å; angles 90.00, 90.00, 90.00 degrees
Space group Pm-3m (No. 221)
Symmetry-distinct sites (fractional):
1 P 0.000 0.000 0.000 [1 per cell]
2 Ru 0.000 0.500 0.500 [3 per cell]
3 Au 0.500 0.500 0.500 [1 per cell]

---

Record 2
Computed, not measured: crystalline PRuAu2 at its relaxed geometry at the GGA-PBE level of DFT.

Results
Its formation energy is -63.8 meV/atom. The value obtained for the calculated total energy is -5.374 eV per atom.

Cell lengths 2.917, 2.988, 14.983 Å; angles 90.00, 90.00, 90.00 degrees
Space group Amm2 (No. 38)
Symmetry-distinct sites (fractional):
1 P 0.000 0.000 0.000 [2 per cell]
2 Ru 0.500 0.000 0.426 [2 per cell]
3 Au 0.000 0.000 0.785 [2 per cell]
4 Au 0.500 0.000 0.144 [2 per cell]